# 1
Compound: Tb5Y2Sc4
Source: Alexandria
Functional: PBE-GGA
Structure: optimized geometry Values from VASP.

Calculated values
Spin magnetization (μB per formula unit): 0.0
Calculated total energy (eV per formula unit): -59.33
Space group: C2/m, No. 12
ΔE_f (eV per atom): 0.1884
Energy above the most stable polymorph in this dataset (meV per atom): 76

Quantum ESPRESSO input file:
```
&SYSTEM
  ibrav = 0, nat = 11, ntyp = 3
/
ATOMIC_SPECIES
Tb 158.93 Tb.upf
Y 88.91 Y.upf
Sc 44.96 Sc.upf
CELL_PARAMETERS angstrom
-2.539 0.818 -6.085
-3.804 -4.930 -2.702
-7.999 4.029 0.252
ATOMIC_POSITIONS crystal
Tb 0.238 0.151 0.833
Tb 0.762 0.849 0.167
Y 0.689 0.387 0.234
Sc 0.728 0.677 0.868
Y 0.311 0.613 0.766
Sc 0.714 0.045 0.527
Tb 0.778 0.151 0.833
Sc 0.272 0.323 0.132
Tb 0.000 0.500 0.500
Tb 0.222 0.849 0.167
Sc 0.286 0.955 0.473
```

# 2
Compound: TbY4Sc2
Source: Alexandria
Functional: PBE-GGA
Structure: optimized geometry Values from VASP.

Calculated values
Spin magnetization (μB per formula unit): 0.0
Calculated total energy (eV per formula unit): -42.14
Space group: P2_1/m, No. 11
ΔE_f (eV per atom): 0.1437
Energy above the most stable polymorph in this dataset (meV per atom): 0

Quantum ESPRESSO input file:
```
&SYSTEM
  ibrav = 0, nat = 14, ntyp = 3
/
ATOMIC_SPECIES
Y 88.91 Y.upf
Sc 44.96 Sc.upf
Tb 158.93 Tb.upf
CELL_PARAMETERS angstrom
-4.920 0.675 2.266
1.095 -5.433 3.996
7.024 6.394 6.769
ATOMIC_POSITIONS crystal
Y 0.216 0.750 0.432
Y 0.927 0.750 0.851
Sc 0.498 0.250 0.999
Tb 0.075 0.750 0.146
Y 0.784 0.250 0.568
Y 0.645 0.500 0.291
Sc 0.214 0.250 0.427
Tb 0.925 0.250 0.854
Sc 0.502 0.750 0.001
Y 0.355 0.500 0.709
Y 0.355 0.000 0.709
Sc 0.786 0.750 0.573
Y 0.645 0.000 0.291
Y 0.073 0.250 0.149
```

# 3
Compound: Tb2Y6Sc3
Source: Alexandria
Functional: PBE-GGA
Structure: optimized geometry Values from VASP.

Calculated values
Spin magnetization (μB per formula unit): 0.0
Calculated total energy (eV per formula unit): -65.99
Space group: P-1, No. 2
ΔE_f (eV per atom): 0.0951

Quantum ESPRESSO input file:
```
&SYSTEM
  ibrav = 0, nat = 11, ntyp = 3
/
ATOMIC_SPECIES
Y 88.91 Y.upf
Sc 44.96 Sc.upf
Tb 158.93 Tb.upf
CELL_PARAMETERS angstrom
-1.087 -1.991 -5.424
-5.548 -3.064 5.779
-14.457 -1.729 1.402
ATOMIC_POSITIONS crystal
Y 0.236 0.633 0.098
Y 0.671 0.778 0.553
Sc 0.262 0.095 0.731
Y 0.981 0.424 0.643
Sc 0.738 0.905 0.269
Sc 0.000 0.000 0.000
Y 0.764 0.367 0.902
Y 0.019 0.576 0.357
Tb 0.492 0.271 0.184
Y 0.329 0.222 0.447
Tb 0.508 0.729 0.816
```

# 4
Compound: TbY2Sc5
Source: Alexandria
Functional: PBE-GGA
Structure: optimized geometry Values from VASP.

Calculated values
Spin magnetization (μB per formula unit): 0.0
Calculated total energy (eV per formula unit): -49.00
Space group: Fmm2, No. 42
ΔE_f (eV per atom): 0.0268
Energy above the most stable polymorph in this dataset (meV per atom): 0

Quantum ESPRESSO input file:
```
&SYSTEM
  ibrav = 0, nat = 8, ntyp = 3
/
ATOMIC_SPECIES
Sc 44.96 Sc.upf
Tb 158.93 Tb.upf
Y 88.91 Y.upf
CELL_PARAMETERS angstrom
1.334 -2.257 -6.358
-2.515 -4.319 4.725
-4.394 4.554 -0.679
ATOMIC_POSITIONS crystal
Sc 0.825 0.236 0.000
Tb 0.818 0.738 0.000
Sc 0.320 0.730 0.000
Y 0.732 0.312 0.489
Sc 0.315 0.240 0.000
Sc 0.234 0.321 0.500
Y 0.243 0.823 0.511
Sc 0.734 0.821 0.500
```

# 5
Compound: Tb5Y6Sc
Source: Alexandria
Functional: PBE-GGA
Structure: optimized geometry Values from VASP.

Calculated values
Spin magnetization (μB per formula unit): 0.0
Calculated total energy (eV per formula unit): -67.91
Space group: C2/m, No. 12
ΔE_f (eV per atom): 0.0301

Quantum ESPRESSO input file:
```
&SYSTEM
  ibrav = 0, nat = 12, ntyp = 3
/
ATOMIC_SPECIES
Tb 158.93 Tb.upf
Y 88.91 Y.upf
Sc 44.96 Sc.upf
CELL_PARAMETERS angstrom
11.655 -1.424 0.000
1.788 5.870 0.000
0.894 2.935 5.309
ATOMIC_POSITIONS crystal
Tb 0.500 0.834 0.333
Y 0.248 0.248 0.000
Y 0.247 0.587 0.331
Y 0.247 0.918 0.669
Tb 0.500 0.166 0.667
Y 0.753 0.413 0.669
Tb 0.000 0.667 0.667
Tb 0.500 0.500 0.000
Tb 0.000 0.333 0.333
Sc 0.000 0.000 0.000
Y 0.753 0.082 0.331
Y 0.752 0.752 0.000
```

# 6
Compound: Tb6Y8Sc
Source: Alexandria
Functional: PBE-GGA
Structure: optimized geometry Values from VASP.

Calculated values
Spin magnetization (μB per formula unit): 0.0
Calculated total energy (eV per formula unit): -83.71
Space group: P-3, No. 147
ΔE_f (eV per atom): 0.1413
Energy above the most stable polymorph in this dataset (meV per atom): 0

Quantum ESPRESSO input file:
```
&SYSTEM
  ibrav = 0, nat = 15, ntyp = 3
/
ATOMIC_SPECIES
Y 88.91 Y.upf
Tb 158.93 Tb.upf
Sc 44.96 Sc.upf
CELL_PARAMETERS angstrom
-3.917 -2.715 3.208
-2.379 -5.675 -7.707
7.088 -2.864 6.230
ATOMIC_POSITIONS crystal
Y 0.233 0.781 0.050
Tb 0.741 0.908 0.530
Y 0.767 0.730 0.781
Y 0.233 0.950 0.730
Sc 0.500 0.000 0.000
Tb 0.259 0.092 0.470
Y 0.767 0.050 0.270
Tb 0.741 0.621 0.092
Tb 0.259 0.379 0.908
Tb 0.259 0.530 0.621
Y 0.766 0.333 0.667
Tb 0.741 0.470 0.379
Y 0.767 0.219 0.950
Y 0.233 0.270 0.219
Y 0.234 0.667 0.333
```